Entry 1:
Entry from the Alexandria database: crystalline Ca4Pb2O at its relaxed geometry (GGA-PBE).

Cell: 4.7198 4.7198 9.2727 Å, 75.26 75.26 90.00°
Sites, in units of the cell vectors:
Pb  0.3583  0.3583  0.2834
Pb  0.6417  0.6417  0.7166
Ca  0.1667  0.1667  0.6666
Ca  0.8333  0.8333  0.3334
Ca  0.0000  0.5000  0.0000
Ca  0.5000  0.0000  0.0000
O  0.0000  0.0000  0.0000

Symmetry: I4/mmm (139)
Crystal system: tetragonal
E_form (uncorrected) in eV/atom: -1.136

=====

Entry 2:
Entry from the Alexandria database: crystalline Ca2Pb2O5 at its relaxed geometry (GGA-PBE).

Cell: 5.9192 6.0234 9.2561 Å, 108.99 108.65 90.00°
Sites, in units of the cell vectors:
Ca  0.1146  0.6471  0.2389
Ca  0.8854  0.4081  0.7611
Ca  0.6243  0.1471  0.2389
Ca  0.3757  0.9082  0.7611
Pb  0.0000  0.9859  0.0000
Pb  0.5000  0.4859  0.0000
Pb  0.2446  0.3080  0.5000
Pb  0.7554  0.8080  0.5000
O  0.2264  0.6926  0.8991
O  0.7736  0.7935  0.1009
O  0.1727  0.1926  0.8991
O  0.8273  0.2935  0.1009
O  0.2555  0.0177  0.2382
O  0.7445  0.7795  0.7618
O  0.4828  0.5178  0.2383
O  0.5172  0.2795  0.7617
O  0.1250  0.7035  0.5000
O  0.8750  0.2035  0.5000

Symmetry: Ima2 (46)
Crystal system: orthorhombic
E_form (uncorrected) in eV/atom: -1.825

=====

Entry 3:
Entry from the Alexandria database: crystalline CaPb2O3 at its relaxed geometry (GGA-PBE).

Cell: 3.5701 3.6204 8.7819 Å, 101.90 101.73 90.00°
Sites, in units of the cell vectors:
Ca  0.5000  0.3555  0.0000
Pb  0.8490  0.6883  0.6979
Pb  0.1510  0.9903  0.3021
O  0.0000  0.8726  0.0000
O  0.3658  0.2839  0.7316
O  0.6342  0.5523  0.2684

Symmetry: Imm2 (44)
Crystal system: orthorhombic
E_form (uncorrected) in eV/atom: -1.630

=====

Entry 4:
Entry from the Alexandria database: crystalline Ca2PdPbO6 at its relaxed geometry (GGA-PBE).

Cell: 5.6054 5.8278 8.0134 Å, 90.00 91.04 90.00°
Sites, in units of the cell vectors:
Ca  0.0214  0.9367  0.2485
Ca  0.5214  0.5633  0.7485
Ca  0.9786  0.0633  0.7515
Ca  0.4786  0.4367  0.2515
Pd  0.5000  0.0000  0.5000
Pd  0.0000  0.5000  0.0000
Pb  0.5000  0.0000  0.0000
Pb  0.0000  0.5000  0.5000
O  0.2921  0.6932  0.0646
O  0.7921  0.8068  0.5646
O  0.7079  0.3068  0.9354
O  0.2079  0.1932  0.4354
O  0.3148  0.7106  0.4331
O  0.8148  0.7894  0.9331
O  0.6852  0.2894  0.5669
O  0.1852  0.2106  0.0669
O  0.8782  0.5514  0.2376
O  0.3782  0.9486  0.7376
O  0.1218  0.4486  0.7624
O  0.6218  0.0514  0.2624

Symmetry: P2_1/c (14)
Crystal system: monoclinic
E_form (uncorrected) in eV/atom: -1.590

=====

Entry 5:
Entry from the Alexandria database: crystalline CaPdPbO4 at its relaxed geometry (GGA-PBE).

Cell: 6.3501 6.9054 6.6758 Å, 118.91 90.00 117.37°
Sites, in units of the cell vectors:
Ca  0.8256  0.6512  0.0756
Ca  0.1744  0.3488  0.9244
Pd  0.5000  0.5000  0.5000
Pd  0.0000  0.5000  0.5000
Pb  0.5000  0.0000  0.5000
Pb  0.5000  0.0000  0.0000
O  0.7177  0.4355  0.6613
O  0.2337  0.9047  0.2024
O  0.6710  0.9047  0.2024
O  0.7177  0.4355  0.2742
O  0.2823  0.5645  0.7258
O  0.7663  0.0953  0.7976
O  0.3290  0.0953  0.7976
O  0.2823  0.5645  0.3387

Symmetry: Imma (74)
Crystal system: orthorhombic
E_form (uncorrected) in eV/atom: -1.292

=====

Entry 6:
Entry from the Alexandria database: crystalline Ca3PmPb2O at its relaxed geometry (GGA-PBE).

Cell: 4.8909 4.7142 9.1149 Å, 104.99 105.56 90.00°
Sites, in units of the cell vectors:
Ca  0.0000  0.5000  0.0000
Ca  0.1691  0.1691  0.3381
Ca  0.8309  0.8309  0.6619
Pm  0.5000  0.0000  0.0000
Pb  0.6370  0.6370  0.2740
Pb  0.3630  0.3630  0.7260
O  0.0000  0.0000  0.0000

Symmetry: Immm (71)
Crystal system: orthorhombic
E_form (uncorrected) in eV/atom: -1.201